{"formula": "BaAl2Tl", "functional": "PBEsol", "state": "relaxed", "crystal_system": "tetragonal", "e_above_lowest_polymorph_ev_per_atom": 0.0000, "dos_at_fermi_per_ev_atom": 0.41, "formation_energy_mev_per_atom": -96, "lattice_angstrom": [[3.668, 0.000, 0.000], [0.000, 3.668, 0.000], [0.000, 0.000, 7.736]], "species": ["Ba", "Al", "Al", "Tl"], "fractional_positions": [[0.000, 0.000, 0.000], [0.000, 0.000, 0.539], [0.500, 0.500, 0.694], [0.500, 0.500, 0.319]]}